1.
A plane-wave DFT calculation with PBE was carried out for an optimized crystal structure of Sr2HoAs3Pt12.

```
Sr2HoAs3Pt12
1.0
7.8894 -0.3435 -0.2436
3.5975 7.0298 -0.2436
3.5975 2.0941 6.7151
Sr Ho As Pt
2 1 3 12
Cartesian
9.0833 5.2872 3.7502 Sr
6.0012 3.4932 2.4777 Sr
0.0000 0.0000 0.0000 Ho
3.9447 -0.1717 -0.1218 As
1.7988 3.5149 -0.1218 As
1.7988 1.0470 3.3575 As
7.2349 4.2113 5.8543 Pt
11.2909 6.5723 2.1855 Pt
9.2589 7.7263 5.4802 Pt
9.5879 2.8749 2.0391 Pt
11.2909 4.2353 5.4802 Pt
7.2349 6.9173 2.0391 Pt
7.8496 4.5691 0.3736 Pt
3.7935 2.2082 4.0424 Pt
5.8256 1.0541 0.7476 Pt
5.4966 5.9055 4.1887 Pt
3.7935 4.5451 0.7476 Pt
7.8496 1.8631 4.1887 Pt
```

Formation enthalpy at 0 K ... -21.9 kJ/mol of atoms
Crystal system ... trigonal
DOS at the Fermi energy ... 8.39 states/eV per cell
VASP energy ... -5.4703 eV per atom



2.
A plane-wave DFT calculation with PBE was carried out for an optimized crystal structure of Tb4ThSc15.

```
Tb4ThSc15
1.0
-4.0287 1.3602 2.0398
-2.1722 -0.1611 -4.1829
-5.6789 -22.5439 3.8175
Tb Th Sc
4 1 15
Cartesian
-1.1346 -4.5041 0.7627 Tb
-2.2714 -9.0170 1.5269 Tb
-3.4075 -13.5269 2.2906 Tb
-4.5443 -18.0398 3.0548 Tb
0.0000 0.0000 0.0000 Th
-3.1005 0.5996 -1.0716 Sc
-4.2412 -3.9288 -0.3047 Sc
-5.3719 -8.4177 0.4554 Sc
-6.5079 -12.9271 1.2190 Sc
-7.6386 -17.4159 1.9791 Sc
-2.5773 -1.5546 1.3983 Sc
-3.7169 -6.0786 2.1644 Sc
-4.8538 -10.5918 2.9287 Sc
-5.9907 -15.1050 3.6929 Sc
-7.1303 -19.6290 4.4590 Sc
-1.6491 -2.3153 -1.7130 Sc
-2.7887 -6.8393 -0.9469 Sc
-3.9256 -11.3525 -0.1827 Sc
-5.0625 -15.8657 0.5816 Sc
-6.2021 -20.3897 1.3477 Sc
```

Formation enthalpy at 0 K ... 4.9 kJ/mol of atoms
Crystal system ... tetragonal
DOS at the Fermi energy ... 38.02 states/eV per cell
VASP energy ... -5.9947 eV per atom



3.
A plane-wave DFT calculation with PBE was carried out for an optimized crystal structure of Li2NbPd2.

```
Li2NbPd2
1.0
7.1826 0.0000 0.0000
0.0000 7.1826 0.0000
0.0000 0.0000 2.7795
Nb Pd Li
2 4 4
Cartesian
0.0000 0.0000 0.0000 Nb
3.5913 3.5913 0.0000 Nb
1.3676 4.9589 1.3898 Pd
4.9589 5.8151 1.3898 Pd
5.8151 2.2238 1.3898 Pd
2.2238 1.3676 1.3898 Pd
2.8016 6.3929 0.0000 Li
6.3929 4.3811 0.0000 Li
4.3811 0.7897 0.0000 Li
0.7897 2.8016 0.0000 Li
```

Polymorph energy (0 for the lowest one) ... 0.00 kJ/mol of atoms
Formation enthalpy at 0 K ... -21.9 kJ/mol of atoms
Crystal system ... tetragonal
DOS at the Fermi energy ... 11.16 states/eV per cell
VASP energy ... -5.0838 eV per atom



4.
A plane-wave DFT calculation with PBE was carried out for an optimized crystal structure of LaPm9Al2.

```
LaPm9Al2
1.0
-2.3316 2.3668 -3.6367
2.6955 -2.4452 -3.3195
-10.5322 -11.0311 -0.4269
La Pm Al
1 9 2
Cartesian
0.0000 0.0000 0.0000 La
0.1820 -0.0392 -3.4781 Pm
-3.4361 -3.8286 -3.6247 Pm
-6.7322 -7.2808 -3.7583 Pm
-3.0787 -0.8201 -1.8959 Pm
-6.4319 -4.3322 -2.0318 Pm
-9.7851 -7.8442 -2.1677 Pm
-0.5651 -3.2261 -1.7373 Pm
-3.9183 -6.7381 -1.8732 Pm
-7.2716 -10.2502 -2.0091 Pm
-3.5836 -3.7534 -0.1452 Al
-6.9485 -7.2777 -0.2816 Al
```

Formation enthalpy at 0 K ... -8.7 kJ/mol of atoms
Crystal system ... tetragonal
DOS at the Fermi energy ... 14.20 states/eV per cell
VASP energy ... -4.6880 eV per atom



5.
A plane-wave DFT calculation with PBE was carried out for an optimized crystal structure of La3PmNi.

```
La3PmNi
1.0
5.5670 0.0000 0.0000
0.0000 5.5670 0.0000
0.0000 0.0000 5.5670
Ni La Pm
1 3 1
Cartesian
0.0000 0.0000 0.0000 Ni
0.0000 2.7835 0.0000 La
0.0000 0.0000 2.7835 La
2.7835 0.0000 0.0000 La
2.7835 2.7835 2.7835 Pm
```

Polymorph energy (0 for the lowest one) ... 12.76 kJ/mol of atoms
Formation enthalpy at 0 K ... 0.0 kJ/mol of atoms
Crystal system ... cubic
DOS at the Fermi energy ... 11.34 states/eV per cell
VASP energy ... -5.0632 eV per atom



6.
A plane-wave DFT calculation with PBE was carried out for an optimized crystal structure of MnCrFe.

```
MnCrFe
1.0
2.4786 0.0000 0.0000
-1.2393 2.1466 0.0000
0.0000 0.0000 6.1870
Cr Fe Mn
1 1 1
Cartesian
0.0000 0.0000 0.0183 Cr
1.2393 0.7155 2.0904 Fe
0.0000 1.4310 4.0783 Mn
```

Polymorph energy (0 for the lowest one) ... 10.69 kJ/mol of atoms
Formation enthalpy at 0 K ... 16.7 kJ/mol of atoms
Crystal system ... trigonal
DOS at the Fermi energy ... 4.41 states/eV per cell
VASP energy ... -8.9119 eV per atom



7.
A plane-wave DFT calculation with PBE was carried out for an optimized crystal structure of NdSbP2.

```
NdSbP2
1.0
-4.0316 -0.2481 -1.5050
-0.7127 -1.2885 -4.0512
-2.0382 -7.9730 0.6012
Sb Nd P
1 1 2
Cartesian
0.0000 0.0000 0.0000 Sb
-3.3912 -4.7548 -2.4775 Nd
-1.8949 -5.6327 -0.1683 P
-4.8875 -3.8769 -4.7867 P
```

E_form (uncorrected) ... -0.1079 eV per atom
Crystal system ... trigonal
DOS at the Fermi energy ... 1.53 states/eV per cell
VASP energy ... -5.0354 eV per atom



8.
A plane-wave DFT calculation with PBE was carried out for an optimized crystal structure of PuHPt3.

```
PuHPt3
1.0
-2.5297 3.6041 3.0972
-4.8149 -1.3300 -2.0075
-0.8631 -3.6224 3.8878
Pu H Pt
2 2 6
Cartesian
-6.5191 -1.0710 3.9535 Pu
-2.4153 -0.3968 1.4648 Pu
-0.3627 -0.0596 0.2199 H
-4.4665 -0.7337 2.7087 H
-4.1759 -1.9704 -0.2903 Pt
-1.6506 -1.8486 3.9068 Pt
-3.4730 2.2913 2.0232 Pt
-5.4706 -0.1510 1.2138 Pt
-3.8873 0.5173 4.0056 Pt
-4.0454 -2.5681 2.9090 Pt
```

Polymorph energy (0 for the lowest one) ... 3.49 kJ/mol of atoms
Crystal system ... trigonal
DOS at the Fermi energy ... 20.23 states/eV per cell
VASP energy ... -7.5496 eV per atom



Question: What is the VASP energy in the first record?
Answer: -5.4703 eV per atom



Question: What is the VASP energy in the second record?
Answer: -5.9947 eV per atom